(1)
KCuAu3 | PBE-GGA | optimized geometry

Cell lengths 5.6338, 5.6338, 5.6338 Å; angles 90.00, 90.00, 90.00 degrees
Fractional positions:
Au: 0.0000 0.5000 0.0000
Au: 0.5000 0.0000 0.0000
Au: 0.0000 0.0000 0.5000
K: 0.0000 0.0000 0.0000
Cu: 0.5000 0.5000 0.5000

Computed properties:
* D(E_F): 6.60 states/eV/cell
* total moment: 0.00 μB/f.u.
* crystal system: cubic
* energy of formation: 1.453 eV/atom

(2)
KCu2Au | PBE-GGA | optimized geometry

Cell lengths 6.0442, 6.0442, 6.0442 Å; angles 153.14, 127.77, 59.70 degrees
Fractional positions:
K: 0.5032 0.5032 0.0000
Cu: 0.9911 0.9911 0.0000
Cu: 0.7989 0.2989 0.5000
Au: 0.2068 0.7068 0.5000

Computed properties:
* D(E_F): 1.62 states/eV/cell
* total moment: 0.00 μB/f.u.
* crystal system: orthorhombic
* energy of formation: 0.265 eV/atom

(3)
KCu2Au | PBE-GGA | optimized geometry

Cell lengths 2.8385, 5.3399, 5.0945 Å; angles 90.00, 90.00, 90.00 degrees
Fractional positions:
K: 0.5000 0.0000 0.5000
Cu: 0.5000 0.5000 0.0000
Cu: 0.0000 0.0000 0.0000
Au: 0.0000 0.5000 0.5000

Computed properties:
* D(E_F): 0.71 states/eV/cell
* total moment: 0.00 μB/f.u.
* crystal system: orthorhombic
* energy of formation: 0.437 eV/atom

(4)
KCuAu2 | PBE-GGA | optimized geometry

Cell lengths 5.4643, 5.4643, 5.4643 Å; angles 134.54, 134.54, 66.25 degrees
Fractional positions:
K: 0.7500 0.2500 0.5000
Au: 0.5000 0.5000 0.0000
Au: 0.0000 0.0000 0.0000
Cu: 0.2500 0.7500 0.5000

Computed properties:
* D(E_F): 1.11 states/eV/cell
* total moment: 0.00 μB/f.u.
* crystal system: tetragonal
* energy of formation: 0.256 eV/atom

(5)
KCuAu2 | PBE-GGA | optimized geometry

Cell lengths 5.4116, 5.4116, 2.8351 Å; angles 90.09, 90.09, 90.71 degrees
Fractional positions:
Cu: 0.5000 0.0000 0.5000
Au: 0.0000 0.0000 0.0000
Au: 0.5000 0.5000 0.0000
K: 0.0000 0.5000 0.5000

Computed properties:
* D(E_F): 0.39 states/eV/cell
* total moment: 0.00 μB/f.u.
* crystal system: monoclinic
* energy of formation: 0.182 eV/atom

(6)
KCu2Au | PBE-GGA | optimized geometry

Cell lengths 3.1978, 3.1978, 7.7318 Å; angles 90.00, 90.00, 89.98 degrees
Fractional positions:
Cu: 0.0000 0.0000 0.0217
Cu: 0.5000 0.5000 0.1644
Au: 0.5000 0.5000 0.8202
K: 0.0000 0.0000 0.4937

Computed properties:
* D(E_F): 1.35 states/eV/cell
* total moment: 0.00 μB/f.u.
* crystal system: tetragonal
* energy of formation: 0.190 eV/atom

(7)
KCuAu2 | PBE-GGA | optimized geometry

Cell lengths 4.5405, 4.2437, 4.2437 Å; angles 90.00, 90.00, 90.00 degrees
Fractional positions:
Au: 0.0000 0.5000 0.5000
Au: 0.0000 0.0000 0.0000
Cu: 0.5000 0.5000 0.0000
K: 0.5000 0.0000 0.5000

Computed properties:
* D(E_F): 0.97 states/eV/cell
* total moment: 0.00 μB/f.u.
* crystal system: tetragonal
* energy of formation: 0.264 eV/atom

(8)
KCu2Au | PBE-GGA | optimized geometry

Cell lengths 4.8457, 4.8457, 4.8457 Å; angles 60.00, 60.00, 60.00 degrees
Fractional positions:
Cu: 0.2500 0.2500 0.2500
Cu: 0.0000 0.0000 0.0000
Au: 0.5000 0.5000 0.5000
K: 0.7500 0.7500 0.7500

Computed properties:
* D(E_F): 2.19 states/eV/cell
* total moment: 0.00 μB/f.u.
* crystal system: cubic
* energy of formation: 0.517 eV/atom

(9)
KCu2Au | PBE-GGA | optimized geometry

Cell lengths 4.0699, 2.8534, 7.2554 Å; angles 91.40, 90.00, 90.00 degrees
Fractional positions:
Cu: 0.5000 0.3908 0.1243
Cu: 0.0000 0.8855 0.0672
Au: 0.5000 0.8724 0.8130
K: 0.0000 0.3513 0.4954

Computed properties:
* D(E_F): 1.08 states/eV/cell
* total moment: 0.00 μB/f.u.
* crystal system: monoclinic
* energy of formation: 0.162 eV/atom

(10)
K2Cu2Au | PBE-GGA | optimized geometry

Cell lengths 6.3171, 6.3171, 5.8055 Å; angles 57.04, 57.04, 90.00 degrees
Fractional positions:
Cu: 0.3422 0.3422 0.3155
Cu: 0.6578 0.6578 0.6845
Au: 0.0000 0.0000 0.0000
K: 0.2500 0.7500 0.5000
K: 0.7500 0.2500 0.5000

Computed properties:
* D(E_F): 1.81 states/eV/cell
* total moment: 0.00 μB/f.u.
* crystal system: tetragonal
* energy of formation: 0.187 eV/atom

(11)
KCu2Au | PBE-GGA | optimized geometry

Cell lengths 4.7645, 4.7645, 4.7645 Å; angles 60.00, 60.00, 60.00 degrees
Fractional positions:
K: 0.0000 0.0000 0.0000
Cu: 0.7500 0.7500 0.7500
Cu: 0.2500 0.2500 0.2500
Au: 0.5000 0.5000 0.5000

Computed properties:
* D(E_F): 1.33 states/eV/cell
* total moment: 0.00 μB/f.u.
* crystal system: cubic
* energy of formation: 0.418 eV/atom

(12)
KCu2Au | PBE-GGA | optimized geometry

Cell lengths 4.8523, 4.8523, 9.5521 Å; angles 75.29, 75.29, 90.00 degrees
Fractional positions:
Au: 0.7500 0.2500 0.5000
Au: 0.0000 0.0000 0.0000
Cu: 0.8750 0.6250 0.2500
Cu: 0.8750 0.1250 0.2500
Cu: 0.3750 0.1250 0.7500
Cu: 0.8750 0.1250 0.7500
K: 0.2500 0.7500 0.5000
K: 0.5000 0.5000 0.0000

Computed properties:
* D(E_F): 1.56 states/eV/cell
* total moment: 0.00 μB/f.u.
* crystal system: tetragonal
* energy of formation: 0.118 eV/atom

(13)
KCuAu2 | PBE-GGA | optimized geometry

Cell lengths 6.4182, 6.4182, 6.4182 Å; angles 42.19, 42.19, 42.19 degrees
Fractional positions:
Au: 0.5655 0.5655 0.5655
Au: 0.9345 0.9345 0.9345
Cu: 0.2500 0.2500 0.2500
K: 0.7500 0.7500 0.7500

Computed properties:
* D(E_F): 3.56 states/eV/cell
* total moment: 0.00 μB/f.u.
* crystal system: trigonal
* energy of formation: -0.116 eV/atom

(14)
K2CuAu2 | PBE-GGA | optimized geometry

Cell lengths 4.8274, 4.8274, 7.7740 Å; angles 71.91, 71.91, 90.00 degrees
Fractional positions:
K: 0.7500 0.2500 0.5000
K: 0.2500 0.7500 0.5000
Cu: 0.0000 0.0000 0.0000
Au: 0.4033 0.4033 0.1935
Au: 0.5967 0.5967 0.8065

Computed properties:
* D(E_F): 2.00 states/eV/cell
* total moment: 0.00 μB/f.u.
* crystal system: tetragonal
* energy of formation: 0.441 eV/atom

(15)
KCuAu | PBE-GGA | optimized geometry

Cell lengths 4.4066, 4.4066, 4.8489 Å; angles 90.00, 90.00, 120.00 degrees
Fractional positions:
Cu: 0.6667 0.3333 0.1665
Au: 0.0000 0.0000 0.1668
K: 0.3333 0.6667 0.6667

Computed properties:
* D(E_F): 1.22 states/eV/cell
* total moment: 0.00 μB/f.u.
* crystal system: hexagonal
* energy of formation: -0.007 eV/atom

(16)
KCu2Au | PBE-GGA | optimized geometry

Cell lengths 4.4524, 4.4524, 6.1783 Å; angles 71.89, 71.89, 59.49 degrees
Fractional positions:
K: 0.7500 0.7500 0.7500
Cu: 0.9275 0.9275 0.2164
Cu: 0.5725 0.5725 0.2836
Au: 0.2500 0.2500 0.2500

Computed properties:
* D(E_F): 1.15 states/eV/cell
* total moment: 0.00 μB/f.u.
* crystal system: monoclinic
* energy of formation: -0.026 eV/atom

(17)
K4CuAu | PBE-GGA | optimized geometry

Cell lengths 7.1713, 7.1713, 7.1713 Å; angles 60.00, 60.00, 60.00 degrees
Fractional positions:
K: 0.3752 0.3752 0.8743
K: 0.8743 0.3752 0.3752
K: 0.3752 0.3752 0.3752
K: 0.3752 0.8743 0.3752
Cu: 0.0000 0.0000 0.0000
Au: 0.7500 0.7500 0.7500

Computed properties:
* D(E_F): 2.12 states/eV/cell
* total moment: 0.00 μB/f.u.
* crystal system: cubic
* energy of formation: 0.468 eV/atom

(18)
KCuAu2 | PBE-GGA | optimized geometry

Cell lengths 3.4923, 3.4923, 7.4588 Å; angles 90.00, 90.00, 90.00 degrees
Fractional positions:
Au: 0.0000 0.0000 0.0564
Au: 0.5000 0.5000 0.2894
Cu: 0.0000 0.0000 0.4050
K: 0.5000 0.5000 0.7492

Computed properties:
* D(E_F): 1.26 states/eV/cell
* total moment: 0.00 μB/f.u.
* crystal system: tetragonal
* energy of formation: 0.102 eV/atom

(19)
KCuAu2 | PBE-GGA | optimized geometry

Cell lengths 2.8654, 4.2404, 7.4140 Å; angles 90.00, 90.00, 90.00 degrees
Fractional positions:
Au: 0.5000 0.5000 0.3065
Au: 0.0000 0.0000 0.0439
K: 0.5000 0.5000 0.7506
Cu: 0.0000 0.0000 0.3991

Computed properties:
* D(E_F): 1.56 states/eV/cell
* total moment: 0.00 μB/f.u.
* crystal system: orthorhombic
* energy of formation: 0.058 eV/atom

(20)
KCuAu2 | PBE-GGA | optimized geometry

Cell lengths 4.9187, 4.9187, 4.9187 Å; angles 60.00, 60.00, 60.00 degrees
Fractional positions:
Au: 0.0000 0.0000 0.0000
Au: 0.2500 0.2500 0.2500
Cu: 0.5000 0.5000 0.5000
K: 0.7500 0.7500 0.7500

Computed properties:
* D(E_F): 2.49 states/eV/cell
* total moment: 0.00 μB/f.u.
* crystal system: cubic
* energy of formation: 0.277 eV/atom